Entry 1:
# YAgPbS3

A relaxed structure of YAgPbS3 (GGA-PBE, OQMD).

Values from the calculation:
Relative energy among the computed polymorphs (eV/atom): 0.0436
E (Ha/atom): -0.1923
M_tot (μB per cell): 0.0

Cell lengths 8.1690, 4.1720, 16.1195 Å; angles 90.00, 90.00, 90.00 degrees
Element x y z (fractional)
Y  0.2385  0.2500  0.0376
Y  0.2615  0.7500  0.5376
Y  0.7385  0.2500  0.4624
Y  0.7615  0.7500  0.9624
Ag  0.1243  0.2500  0.3656
Ag  0.3757  0.7500  0.8656
Ag  0.6243  0.2500  0.1344
Ag  0.8757  0.7500  0.6344
Pb  0.0877  0.2500  0.7692
Pb  0.4123  0.7500  0.2692
Pb  0.5877  0.2500  0.7308
Pb  0.9123  0.7500  0.2308
S  0.0371  0.2500  0.5883
S  0.1150  0.7500  0.9475
S  0.1785  0.2500  0.2078
S  0.3215  0.7500  0.7078
S  0.3850  0.2500  0.4475
S  0.4629  0.7500  0.0883
S  0.5371  0.2500  0.9117
S  0.6150  0.7500  0.5525
S  0.6785  0.2500  0.2922
S  0.8215  0.7500  0.7922
S  0.8850  0.2500  0.0525
S  0.9629  0.7500  0.4117

---

Entry 2:
# Nd3Ga2

A relaxed structure of Nd3Ga2 (GGA-PBE, OQMD).

Values from the calculation:
E (Ha/atom): -0.1673
M_tot (μB per cell): 0.0

Cell lengths 11.4729, 11.4729, 11.4729 Å; angles 117.06, 117.06, 95.17 degrees
Element x y z (fractional)
Nd  0.0656  0.9328  0.2666
Nd  0.0672  0.3338  0.1328
Nd  0.1491  0.6491  0.5000
Nd  0.1662  0.4328  0.8672
Nd  0.1680  0.3320  0.5000
Nd  0.2010  0.9344  0.8672
Nd  0.2990  0.1662  0.7334
Nd  0.3320  0.8320  0.1640
Nd  0.3338  0.2010  0.2666
Nd  0.3509  0.8509  0.5000
Nd  0.4328  0.5656  0.2666
Nd  0.4344  0.7010  0.8672
Nd  0.5656  0.2990  0.1328
Nd  0.5672  0.4344  0.7334
Nd  0.6491  0.1491  0.5000
Nd  0.6662  0.7990  0.7334
Nd  0.6680  0.1680  0.8360
Nd  0.7010  0.8338  0.2666
Nd  0.7990  0.0656  0.1328
Nd  0.8320  0.6680  0.5000
Nd  0.8338  0.5672  0.1328
Nd  0.8509  0.3509  0.5000
Nd  0.9328  0.6662  0.8672
Nd  0.9344  0.0672  0.7334
Ga  0.0000  0.0000  0.0000
Ga  0.0230  0.8827  0.5000
Ga  0.1160  0.6160  0.7320
Ga  0.1173  0.6173  0.1403
Ga  0.2500  0.2500  0.0000
Ga  0.3827  0.5230  0.5000
Ga  0.3840  0.1160  0.5000
Ga  0.4770  0.9770  0.8597
Ga  0.5000  0.5000  0.0000
Ga  0.5230  0.0230  0.1403
Ga  0.6160  0.8840  0.5000
Ga  0.6173  0.4770  0.5000
Ga  0.7500  0.7500  0.0000
Ga  0.8827  0.3827  0.8597
Ga  0.8840  0.3840  0.2680
Ga  0.9770  0.1173  0.5000